The following is a PBE with a Hubbard U calculation of an optimized crystal structure of CsFeCoF6, from Alexandria via LeMat-Bulk.

raw total energy: -90.57 eV/cell

POSCAR file:
```
CsFeCoF6
1.0
-3.723 3.769 5.283
3.723 -3.769 5.283
3.723 3.769 -5.283
Cs Fe Co F
2 2 2 12
Cartesian
0.000 1.885 1.267
3.723 1.885 4.016
3.723 0.000 0.000
0.000 0.000 5.283
1.862 1.885 -2.641
1.862 -1.885 2.641
3.723 -1.885 3.416
2.327 -0.362 1.300
5.120 -0.362 1.300
3.723 1.885 0.645
2.327 3.407 -1.300
1.397 -0.362 3.983
2.327 4.131 1.300
1.397 0.362 6.583
0.000 1.885 4.637
-1.397 4.131 3.983
1.397 4.131 3.983
0.000 5.654 1.866
```